The following is a DFT calculation (PBE) of crystalline Nb2InSiPt at its relaxed geometry.

Summary:
DOS at the Fermi energy	4.52	states/eV/f.u.
formation energy (no corrections)	0.9989	eV per atom

Lattice parameters (Å, degrees): 4.9667 4.9667 4.9478 90.00 90.00 90.00
Space group P4/mmm (No. 123)
Asymmetric unit:
Nb (0.0000, 0.5000, 0.0000) x2
In (0.0000, 0.0000, 0.5000) x1
Si (0.5000, 0.5000, 0.5000) x1
Pt (0.0000, 0.0000, 0.0000) x1